The following is a DFT calculation (GGA-PBE) of an optimized crystal structure of LaY6Se8.

Calculated values
mass density: 5.6 g/cm³
N(E_F): 0.464 states/eV per atom
total DFT energy (no corrections): -99.26 eV per cell
total magnetization: 0.00 μB per cell
symmetry: Fm-3m (225)

```
LaY6Se8
1.0
7.083 0.000 4.089
2.361 6.678 4.089
0.000 0.000 8.178
Y Se La
6 8 1
Cartesian
3.541 0.000 2.045
0.000 0.000 4.089
1.180 3.339 6.134
4.722 3.339 4.089
1.180 3.339 2.045
3.541 0.000 6.134
6.973 4.931 8.178
5.847 1.747 6.229
3.596 4.931 6.229
7.083 5.008 12.268
2.361 1.669 4.089
5.847 1.747 10.128
3.596 4.931 10.128
2.471 1.747 8.178
0.000 0.000 0.000
```